Dy6ZnFe2 | PBE-GGA | optimized geometry

Computed properties:
V: 220.0 Å³/f.u.
ΔH_f (0 K): -0.091 eV per atom
D(E_F): 42.6 states/eV per cell
Total DFT energy (no corrections): -5.18 eV/atom

a b c (Å): 9.3981 9.4458 9.9131
angles (deg): 90.00 90.00 90.00
Closest atoms and distances in Å follow each position.
Space group Immm (No. 71)
Symmetry-distinct sites (fractional):
Dy1 0.0000 0.2041 0.2291 [8 per cell]  1 Fe 2.82, 1 Zn 2.98
Dy2 0.2031 0.5000 0.1853 [8 per cell]  3 Fe 2.79-2.88
Dy3 0.2155 0.3151 0.5000 [8 per cell]  2 Fe 2.89, 1 Zn 3.19
Zn1 0.0000 0.0000 0.0000 [2 per cell]  8 Dy 2.98-3.19
Zn2 0.0000 0.0000 0.5000 [2 per cell]  12 Dy 3.31-3.60
Fe1 0.0000 0.3816 0.0000 [4 per cell]  1 Fe 2.24
Fe2 0.0000 0.5000 0.3906 [4 per cell]  1 Fe 2.17